# 1
Computed, not measured: a relaxed structure of ThS3O12 at the PBE-GGA level of DFT.

a b c (Å): 9.8637 9.8637 9.8637
angles (deg): 50.78 50.78 50.78
With the nearest neighbours (Å) after each atom.
Fractional positions:
1 Th 0.0000 0.0000 0.0000  9 O 2.39-2.55
2 Th 0.5000 0.5000 0.5000  9 O 2.39-2.55
3 S 0.0955 0.3662 0.7198  4 O 1.46-1.51
4 S 0.2198 0.8662 0.5955  4 O 1.46-1.51
5 S 0.3662 0.7198 0.0955  4 O 1.46-1.51
6 S 0.5955 0.2198 0.8662  4 O 1.46-1.51
7 S 0.7198 0.0955 0.3662  4 O 1.46-1.51
8 S 0.8662 0.5955 0.2198  4 O 1.46-1.51
9 O 0.0499 0.4773 0.1216  1 S 1.46
10 O 0.1216 0.0499 0.4773  1 S 1.46
11 O 0.1512 0.2113 0.6773  1 S 1.51
12 O 0.1688 0.8695 0.7718  1 S 1.49
13 O 0.1773 0.7113 0.6512  1 S 1.51
14 O 0.2113 0.6773 0.1512  1 S 1.51
15 O 0.2718 0.3695 0.6688  1 S 1.49
16 O 0.3028 0.9317 0.9882  1 S 1.51
17 O 0.3695 0.6688 0.2718  1 S 1.49
18 O 0.4317 0.8028 0.4882  1 S 1.51
19 O 0.4773 0.1216 0.0499  1 S 1.46
20 O 0.4882 0.4317 0.8028  1 S 1.51
21 O 0.5499 0.6216 0.9773  1 S 1.46
22 O 0.6216 0.9773 0.5499  1 S 1.46
23 O 0.6512 0.1773 0.7113  1 S 1.51
24 O 0.6688 0.2718 0.3695  1 S 1.49
25 O 0.6773 0.1512 0.2113  1 S 1.51
26 O 0.7113 0.6512 0.1773  1 S 1.51
27 O 0.7718 0.1688 0.8695  1 S 1.49
28 O 0.8028 0.4882 0.4317  1 S 1.51
29 O 0.8695 0.7718 0.1688  1 S 1.49
30 O 0.9317 0.9882 0.3028  1 S 1.51
31 O 0.9773 0.5499 0.6216  1 S 1.46
32 O 0.9882 0.3028 0.9317  1 S 1.51

Values from the calculation:
Crystal system: trigonal
D(E_F), states/eV/cell: 23.28
Uncorrected formation energy, kcal/mol of atoms: -36.2

***

# 2
Computed, not measured: a relaxed structure of ThS2O8 at the PBE-GGA level of DFT.

a b c (Å): 5.5579 5.5579 5.7607
angles (deg): 108.26 108.26 56.45
With the nearest neighbours (Å) after each atom.
Fractional positions:
1 Th 0.0000 0.0000 0.0000  6 O 2.35-2.46
2 S 0.2019 0.2019 0.6929  4 O 1.48-1.50
3 S 0.7981 0.7981 0.3071  4 O 1.48-1.50
4 O 0.0881 0.6409 0.2256  1 S 1.50
5 O 0.1591 0.1591 0.4171  1 S 1.49
6 O 0.3591 0.9119 0.7744  1 S 1.50
7 O 0.3629 0.3629 0.8080  1 S 1.48
8 O 0.6371 0.6371 0.1920  1 S 1.48
9 O 0.6409 0.0881 0.2256  1 S 1.50
10 O 0.8409 0.8409 0.5829  1 S 1.49
11 O 0.9119 0.3591 0.7744  1 S 1.50

Values from the calculation:
Crystal system: monoclinic
D(E_F), states/eV/cell: 0.00
Energy above the most stable polymorph in this dataset, meV/atom: 135
Uncorrected formation energy, kcal/mol of atoms: -45.0

***

# 3
Computed, not measured: a relaxed structure of ThS2O8 at the PBE-GGA level of DFT.

a b c (Å): 9.3095 13.8802 9.6467
angles (deg): 90.00 90.00 90.00
With the nearest neighbours (Å) after each atom.
Fractional positions:
1 Th 0.2192 0.1034 0.0350  8 O 2.35-2.47
2 Th 0.2192 0.3966 0.5350  8 O 2.35-2.47
3 Th 0.2808 0.6034 0.0350  8 O 2.35-2.47
4 Th 0.2808 0.8966 0.5350  8 O 2.35-2.47
5 Th 0.7192 0.1034 0.4650  8 O 2.35-2.47
6 Th 0.7192 0.3966 0.9650  8 O 2.35-2.47
7 Th 0.7808 0.6034 0.4650  8 O 2.35-2.47
8 Th 0.7808 0.8966 0.9650  8 O 2.35-2.47
9 S 0.0028 0.0550 0.7211  4 O 1.48-1.49
10 S 0.0028 0.4450 0.2211  4 O 1.48-1.49
11 S 0.1724 0.6576 0.3963  4 O 1.48-1.49
12 S 0.1724 0.8424 0.8963  4 O 1.48-1.49
13 S 0.3276 0.1576 0.3963  4 O 1.48-1.49
14 S 0.3276 0.3424 0.8963  4 O 1.48-1.49
15 S 0.4972 0.5550 0.7211  4 O 1.48-1.49
16 S 0.4972 0.9450 0.2211  4 O 1.48-1.49
17 S 0.5028 0.0550 0.7789  4 O 1.48-1.49
18 S 0.5028 0.4450 0.2789  4 O 1.48-1.49
19 S 0.6724 0.6576 0.1037  4 O 1.48-1.49
20 S 0.6724 0.8424 0.6037  4 O 1.48-1.49
21 S 0.8276 0.1576 0.1037  4 O 1.48-1.49
22 S 0.8276 0.3424 0.6037  4 O 1.48-1.49
23 S 0.9972 0.5550 0.7789  4 O 1.48-1.49
24 S 0.9972 0.9450 0.2789  4 O 1.48-1.49
25 O 0.0149 0.6699 0.4143  1 S 1.49
26 O 0.0149 0.8301 0.9143  1 S 1.49
27 O 0.0840 0.6158 0.8736  1 S 1.48
28 O 0.0840 0.8842 0.3736  1 S 1.48
29 O 0.0880 0.5139 0.1382  1 S 1.48
30 O 0.0880 0.9861 0.6382  1 S 1.48
31 O 0.0965 0.9996 0.1869  1 S 1.49
32 O 0.0968 0.1162 0.8081  1 S 1.48
33 O 0.0968 0.3838 0.3081  1 S 1.48
34 O 0.0965 0.5004 0.6869  1 S 1.49
35 O 0.2144 0.5579 0.4332  1 S 1.48
36 O 0.2138 0.6776 0.2501  1 S 1.49
37 O 0.2138 0.8224 0.7501  1 S 1.49
38 O 0.2144 0.9421 0.9332  1 S 1.48
39 O 0.2483 0.7274 0.4872  1 S 1.49
40 O 0.2483 0.7726 0.9872  1 S 1.49
41 O 0.2517 0.2274 0.4872  1 S 1.49
42 O 0.2517 0.2726 0.9872  1 S 1.49
43 O 0.2856 0.0579 0.4332  1 S 1.48
44 O 0.2862 0.1776 0.2501  1 S 1.49
45 O 0.2862 0.3224 0.7501  1 S 1.49
46 O 0.2856 0.4421 0.9332  1 S 1.48
47 O 0.4035 0.0004 0.6869  1 S 1.49
48 O 0.4035 0.4996 0.1869  1 S 1.49
49 O 0.4032 0.6162 0.8081  1 S 1.48
50 O 0.4032 0.8838 0.3081  1 S 1.48
51 O 0.4120 0.0139 0.1382  1 S 1.48
52 O 0.4120 0.4861 0.6382  1 S 1.48
53 O 0.4160 0.1158 0.8736  1 S 1.48
54 O 0.4160 0.3842 0.3736  1 S 1.48
55 O 0.4851 0.1699 0.4143  1 S 1.49
56 O 0.4851 0.3301 0.9143  1 S 1.49
57 O 0.5149 0.6699 0.0857  1 S 1.49
58 O 0.5149 0.8301 0.5857  1 S 1.49
59 O 0.5840 0.6158 0.6264  1 S 1.48
60 O 0.5840 0.8842 0.1264  1 S 1.48
61 O 0.5880 0.5139 0.3618  1 S 1.48
62 O 0.5880 0.9861 0.8618  1 S 1.48
63 O 0.5965 0.9996 0.3131  1 S 1.49
64 O 0.5968 0.1162 0.6919  1 S 1.48
65 O 0.5968 0.3838 0.1919  1 S 1.48
66 O 0.5965 0.5004 0.8131  1 S 1.49
67 O 0.7144 0.5579 0.0668  1 S 1.48
68 O 0.7138 0.6776 0.2499  1 S 1.49
69 O 0.7138 0.8224 0.7499  1 S 1.49
70 O 0.7144 0.9421 0.5668  1 S 1.48
71 O 0.7483 0.7274 0.0128  1 S 1.49
72 O 0.7483 0.7726 0.5128  1 S 1.49
73 O 0.7517 0.2274 0.0128  1 S 1.49
74 O 0.7517 0.2726 0.5128  1 S 1.49
75 O 0.7856 0.0579 0.0668  1 S 1.48
76 O 0.7862 0.1776 0.2499  1 S 1.49
77 O 0.7862 0.3224 0.7499  1 S 1.49
78 O 0.7856 0.4421 0.5668  1 S 1.48
79 O 0.9035 0.0004 0.8131  1 S 1.49
80 O 0.9035 0.4996 0.3131  1 S 1.49
81 O 0.9032 0.6162 0.6919  1 S 1.48
82 O 0.9032 0.8838 0.1919  1 S 1.48
83 O 0.9120 0.0139 0.3618  1 S 1.48
84 O 0.9120 0.4861 0.8618  1 S 1.48
85 O 0.9160 0.1158 0.6264  1 S 1.48
86 O 0.9160 0.3842 0.1264  1 S 1.48
87 O 0.9851 0.1699 0.0857  1 S 1.49
88 O 0.9851 0.3301 0.5857  1 S 1.49

Values from the calculation:
Crystal system: orthorhombic
D(E_F), states/eV/cell: 0.00
Energy above the most stable polymorph in this dataset, meV/atom: 0
Uncorrected formation energy, kcal/mol of atoms: -48.1

***

# 4
Computed, not measured: a relaxed structure of Ti3S2O2 at the PBE-GGA level of DFT.

a b c (Å): 5.9233 5.9233 5.4620
angles (deg): 110.74 110.74 31.70
With the nearest neighbours (Å) after each atom.
Fractional positions:
1 Ti 0.0000 0.0000 0.0000  2 O 2.07
2 Ti 0.2508 0.2508 0.7565  3 O 2.06-2.14
3 Ti 0.7492 0.7492 0.2435  3 O 2.06-2.14
4 S 0.4062 0.4062 0.2135  5 Ti 2.46-2.47
5 S 0.5938 0.5938 0.7865  5 Ti 2.46-2.47
6 O 0.1621 0.1621 0.3359  4 Ti 2.06-2.14
7 O 0.8379 0.8379 0.6641  4 Ti 2.06-2.14

Values from the calculation:
Crystal system: monoclinic
D(E_F), states/eV/cell: 3.11
Uncorrected formation energy, kcal/mol of atoms: -47.7

***

# 5
Computed, not measured: a relaxed structure of Ti7S12O at the PBE-GGA level of DFT.

a b c (Å): 7.6325 7.6325 7.6325
angles (deg): 107.61 107.61 107.61
With the nearest neighbours (Å) after each atom.
Fractional positions:
1 Ti 0.0000 0.0000 0.0000  6 S 2.42
2 Ti 0.1555 0.3896 0.4629  5 S 2.37-2.46, 1 O 2.40
3 Ti 0.3896 0.4629 0.1555  5 S 2.37-2.46, 1 O 2.40
4 Ti 0.4629 0.1555 0.3896  5 S 2.37-2.46, 1 O 2.40
5 Ti 0.5371 0.8445 0.6104  5 S 2.37-2.46, 1 O 2.40
6 Ti 0.6104 0.5371 0.8445  5 S 2.37-2.46, 1 O 2.40
7 Ti 0.8445 0.6104 0.5371  5 S 2.37-2.46, 1 O 2.40
8 S 0.0443 0.3492 0.1194  3 Ti 2.39-2.42
9 S 0.1194 0.0443 0.3492  3 Ti 2.39-2.42
10 S 0.1865 0.7287 0.5788  3 Ti 2.37-2.46
11 S 0.2713 0.4212 0.8135  3 Ti 2.37-2.46
12 S 0.3492 0.1194 0.0444  3 Ti 2.39-2.42
13 S 0.4212 0.8135 0.2713  3 Ti 2.37-2.46
14 S 0.5788 0.1865 0.7287  3 Ti 2.37-2.46
15 S 0.6508 0.8806 0.9557  3 Ti 2.39-2.42
16 S 0.7287 0.5788 0.1865  3 Ti 2.37-2.46
17 S 0.8135 0.2713 0.4212  3 Ti 2.37-2.46
18 S 0.8806 0.9557 0.6508  3 Ti 2.39-2.42
19 S 0.9556 0.6508 0.8806  3 Ti 2.39-2.42
20 O 0.5000 0.5000 0.5000  6 Ti 2.40

Values from the calculation:
Crystal system: trigonal
D(E_F), states/eV/cell: 8.33
Uncorrected formation energy, kcal/mol of atoms: -29.4

***

# 6
Computed, not measured: a relaxed structure of Ti3SO5 at the PBE-GGA level of DFT.

a b c (Å): 5.9282 5.9282 8.7542
angles (deg): 117.09 117.09 65.72
With the nearest neighbours (Å) after each atom.
Fractional positions:
1 Ti 0.0000 0.0000 0.0000  4 O 1.93-2.03
2 Ti 0.0000 0.0000 0.5000  4 O 1.98
3 Ti 0.3381 0.3381 0.3014  2 O 1.74-1.93
4 Ti 0.3644 0.3644 0.7909  5 O 1.84-2.02
5 Ti 0.6356 0.6356 0.2091  5 O 1.84-2.02
6 Ti 0.6619 0.6619 0.6986  2 O 1.74-1.93
7 S 0.0990 0.0990 0.3084  3 Ti 2.32-2.42
8 S 0.9010 0.9010 0.6916  3 Ti 2.32-2.42
9 O 0.0193 0.6339 0.3325  3 Ti 1.98-2.02
10 O 0.2187 0.2187 0.0647  2 Ti 1.74-1.93
11 O 0.3160 0.6840 0.0000  3 Ti 1.97-2.03
12 O 0.3661 0.9807 0.6675  3 Ti 1.98-2.02
13 O 0.4480 0.4480 0.6482  2 Ti 1.84-1.93
14 O 0.5520 0.5520 0.3518  2 Ti 1.84-1.93
15 O 0.6339 0.0193 0.3325  3 Ti 1.98-2.02
16 O 0.6840 0.3160 0.0000  3 Ti 1.97-2.03
17 O 0.7813 0.7813 0.9353  2 Ti 1.74-1.93
18 O 0.9807 0.3661 0.6675  3 Ti 1.98-2.02

Values from the calculation:
Crystal system: monoclinic
Uncorrected formation energy, kcal/mol of atoms: -59.5